## MgZnHg2 (PBE)

Data for MgZnHg2 after structural relaxation.

Unit cell a=4.946 b=4.946 c=5.191 alpha=77.95 beta=77.95 gamma=43.59
Atoms (fractional coordinates):
Mg (0.750, 0.750, 0.750)
Hg (0.998, 0.998, 0.006)
Hg (0.502, 0.502, 0.494)
Zn (0.250, 0.250, 0.250)

Summary:
magnetic moment: 0.00 μB per formula unit
mass density: 9.6 g/cm³
total DFT energy (no corrections): -3.650 eV for the cell shown
energy of formation from the pure elements: -0.0445 eV per atom